The following is a DFT calculation (GGA-PBE) of a relaxed structure of CsKMo3.

Output
final energy = -3.462 eV/atom
calculated formation energy = 3.427 eV per atom
total magnetization = 1.947 μB/atom
crystal system = cubic
calculated volume = 143 Å³ per cell

abc: 5.2263 5.2263 5.2263
angles: 90.00 90.00 90.00
Closest atoms and distances in Å follow each position.
Space group Pm-3m (No. 221)
Symmetry-distinct sites (fractional):
Cs: 0.0000 0.0000 0.0000 [1 per cell]  12 Mo 3.70
K: 0.5000 0.5000 0.5000 [1 per cell]  6 Mo 2.61
Mo: 0.0000 0.5000 0.5000 [3 per cell]  2 K 2.61